<P>
Compound: GdNbNi2
Source: Alexandria
Functional: PBE-GGA
Structure: optimized geometry

Properties
N(E_F) (states/eV/f.u.): 4.37

Lattice parameters (Å, degrees): 3.211 3.211 6.726 90.00 90.00 90.00
Atoms (fractional coordinates):
1 Gd 0.500 0.500 0.500
2 Ni 0.000 0.000 0.807
3 Ni 0.000 0.000 0.193
4 Nb 0.500 0.500 0.000

<Q>
Compound: GdNbNi2
Source: Alexandria
Functional: PBE-GGA
Structure: optimized geometry

Properties
N(E_F) (states/eV/f.u.): 3.16

Lattice parameters (Å, degrees): 4.259 4.259 5.391 66.74 66.74 60.00
Atoms (fractional coordinates):
1 Ni 0.201 0.201 0.396
2 Ni 0.799 0.799 0.604
3 Gd 0.000 0.000 0.000
4 Nb 0.500 0.500 0.500

It comes down to <Q>, which is 2.1 kJ/mol of atoms more stable than the next structure.

<P>
Compound: Gd3NbO7
Source: Alexandria
Functional: PBE-GGA
Structure: optimized geometry

Properties
N(E_F) (states/eV/f.u.): 0.00

Lattice parameters (Å, degrees): 6.592 6.592 7.585 90.00 90.00 108.62
Atoms (fractional coordinates):
1 Gd 0.464 0.001 0.261
2 Gd 0.536 0.999 0.761
3 Gd 0.539 0.539 0.500
4 Gd 0.999 0.536 0.239
5 Gd 0.001 0.464 0.739
6 Gd 0.461 0.461 0.000
7 O 0.084 0.329 0.022
8 O 0.640 0.360 0.750
9 O 0.329 0.084 0.978
10 O 0.302 0.046 0.547
11 O 0.916 0.671 0.522
12 O 0.628 0.372 0.250
13 O 0.067 0.933 0.250
14 O 0.671 0.916 0.478
15 O 0.372 0.628 0.750
16 O 0.360 0.640 0.250
17 O 0.933 0.067 0.750
18 O 0.046 0.302 0.453
19 O 0.698 0.954 0.047
20 O 0.954 0.698 0.953
21 Nb 0.003 0.003 0.500
22 Nb 0.997 0.997 0.000

<Q>
Compound: Gd3NbO7
Source: Alexandria
Functional: PBE-GGA
Structure: optimized geometry

Properties
N(E_F) (states/eV/f.u.): 0.00

Lattice parameters (Å, degrees): 8.252 8.252 5.427 90.00 90.00 125.15
Atoms (fractional coordinates):
1 Gd 0.881 0.119 0.527
2 Gd 0.000 0.500 0.000
3 Gd 0.619 0.381 0.527
4 Gd 0.500 0.000 0.000
5 Gd 0.119 0.881 0.473
6 Gd 0.381 0.619 0.473
7 O 0.750 0.250 0.757
8 O 0.488 0.512 0.211
9 O 0.339 0.102 0.765
10 O 0.398 0.161 0.235
11 O 0.250 0.750 0.243
12 O 0.602 0.839 0.765
13 O 0.102 0.339 0.235
14 O 0.661 0.898 0.235
15 O 0.988 0.012 0.789
16 O 0.512 0.488 0.789
17 O 0.898 0.661 0.765
18 O 0.161 0.398 0.765
19 O 0.839 0.602 0.235
20 O 0.012 0.988 0.211
21 Nb 0.750 0.750 0.000
22 Nb 0.250 0.250 0.000

It comes down to <P>, which is 24.6 kJ/mol of atoms more stable than the next structure.

<P>
Compound: GdNbRh2
Source: Alexandria
Functional: PBE-GGA
Structure: optimized geometry

Properties
N(E_F) (states/eV/f.u.): 4.29

Lattice parameters (Å, degrees): 3.205 3.205 7.255 90.00 90.00 90.00
Atoms (fractional coordinates):
1 Nb 0.500 0.500 0.000
2 Rh 0.000 0.000 0.793
3 Rh 0.000 0.000 0.207
4 Gd 0.500 0.500 0.500

<Q>
Compound: GdNbRh2
Source: Alexandria
Functional: PBE-GGA
Structure: optimized geometry

Properties
N(E_F) (states/eV/f.u.): 4.89

Lattice parameters (Å, degrees): 4.695 4.695 4.695 60.00 60.00 60.00
Atoms (fractional coordinates):
1 Gd 0.000 0.000 0.000
2 Rh 0.250 0.250 0.250
3 Rh 0.750 0.750 0.750
4 Nb 0.500 0.500 0.500

It comes down to <P>, which is 11.8 kJ/mol of atoms more stable than the next structure.

<P>
Compound: NdGd3
Source: Alexandria
Functional: PBE-GGA
Structure: optimized geometry

Properties
N(E_F) (states/eV/f.u.): 6.69

Lattice parameters (Å, degrees): 5.735 5.735 5.735 60.00 60.00 60.00
Atoms (fractional coordinates):
1 Nd 0.500 0.500 0.500
2 Gd 0.000 0.000 0.000
3 Gd 0.250 0.250 0.250
4 Gd 0.750 0.750 0.750

<Q>
Compound: NdGd3
Source: Alexandria
Functional: PBE-GGA
Structure: optimized geometry

Properties
N(E_F) (states/eV/f.u.): 6.99

Lattice parameters (Å, degrees): 5.102 5.101 6.241 114.12 114.13 90.00
Atoms (fractional coordinates):
1 Gd 0.750 0.917 0.500
2 Gd 0.250 0.417 0.500
3 Gd 0.500 0.167 0.000
4 Nd 0.000 0.667 0.000

It comes down to <Q>, which is 7.1 kJ/mol of atoms more stable than the next structure.

<P>
Compound: Nd2GdNi
Source: Alexandria
Functional: PBE-GGA
Structure: optimized geometry

Properties
N(E_F) (states/eV/f.u.): 6.52

Lattice parameters (Å, degrees): 3.691 3.691 10.732 80.10 80.10 60.00
Atoms (fractional coordinates):
1 Nd 0.889 0.889 0.332
2 Nd 0.111 0.111 0.668
3 Ni 0.500 0.500 0.500
4 Gd 0.000 0.000 0.000

<Q>
Compound: Nd2GdNi
Source: Alexandria
Functional: PBE-GGA
Structure: optimized geometry

Properties
N(E_F) (states/eV/f.u.): 6.10

Lattice parameters (Å, degrees): 3.568 3.568 8.759 90.00 90.00 90.00
Atoms (fractional coordinates):
1 Nd 0.000 0.000 0.190
2 Nd 0.000 0.000 0.810
3 Gd 0.500 0.500 0.500
4 Ni 0.500 0.500 0.000

It comes down to <Q>, which is 17.9 kJ/mol of atoms more stable than the next structure.

<P>
Compound: NdGd2Os
Source: Alexandria
Functional: PBE-GGA
Structure: optimized geometry

Properties
N(E_F) (states/eV/f.u.): 4.51

Lattice parameters (Å, degrees): 4.786 4.786 5.957 66.32 66.32 60.00
Atoms (fractional coordinates):
1 Os 0.000 0.000 0.000
2 Gd 0.727 0.727 0.820
3 Gd 0.273 0.273 0.180
4 Nd 0.500 0.500 0.500

<Q>
Compound: NdGd2Os
Source: Alexandria
Functional: PBE-GGA
Structure: optimized geometry

Properties
N(E_F) (states/eV/f.u.): 3.01

Lattice parameters (Å, degrees): 3.443 3.443 9.413 90.00 90.00 90.00
Atoms (fractional coordinates):
1 Gd 0.000 0.000 0.178
2 Gd 0.000 0.000 0.822
3 Os 0.500 0.500 0.000
4 Nd 0.500 0.500 0.500

It comes down to <Q>, which is 21.7 kJ/mol of atoms more stable than the next structure.

<P>
Compound: NdGdOs
Source: Alexandria
Functional: PBE-GGA
Structure: optimized geometry

Properties
N(E_F) (states/eV/f.u.): 1.95

Lattice parameters (Å, degrees): 3.455 3.455 7.262 103.76 103.76 90.00
Atoms (fractional coordinates):
1 Os 0.669 0.669 0.338
2 Nd 0.041 0.041 0.083
3 Gd 0.289 0.289 0.579

<Q>
Compound: NdGdOs
Source: Alexandria
Functional: PBE-GGA
Structure: optimized geometry

Properties
N(E_F) (states/eV/f.u.): 1.84

Lattice parameters (Å, degrees): 4.873 4.873 4.873 60.00 60.00 60.00
Atoms (fractional coordinates):
1 Nd 0.500 0.500 0.500
2 Os 0.250 0.250 0.250
3 Gd 0.000 0.000 0.000

It comes down to <Q>, which is 0.5 kJ/mol of atoms more stable than the next structure.

<P>
Compound: NdGdPa
Source: Alexandria
Functional: PBE-GGA
Structure: optimized geometry

Properties
N(E_F) (states/eV/f.u.): 4.75

Lattice parameters (Å, degrees): 3.414 3.414 8.166 102.07 102.07 90.00
Atoms (fractional coordinates):
1 Pa 0.332 0.332 0.663
2 Nd 0.988 0.988 0.976
3 Gd 0.681 0.681 0.361

<Q>
Compound: NdGdPa
Source: Alexandria
Functional: PBE-GGA
Structure: optimized geometry

Properties
N(E_F) (states/eV/f.u.): 4.62

Lattice parameters (Å, degrees): 3.458 3.458 8.711 90.00 90.00 120.00
Atoms (fractional coordinates):
1 Pa 0.000 0.000 0.003
2 Nd 0.333 0.667 0.683
3 Gd 0.667 0.333 0.314

It comes down to <Q>, which is 1.1 kJ/mol of atoms more stable than the next structure.